(1)
The following is a GGA-PBE calculation of TiTlMo after structural relaxation, from Alexandria via LeMat-Bulk.

abc: 6.769 3.328 10.482
angles: 90.00 108.82 90.00
Fractional coordinates of all 12 atoms:
Ti (0.284, 0.500, 0.488)
Ti (0.716, 0.500, 0.512)
Ti (0.284, 0.000, 0.988)
Ti (0.716, 0.000, 0.012)
Mo (0.437, 0.000, 0.339)
Mo (0.563, 0.500, 0.161)
Mo (0.563, 0.000, 0.661)
Mo (0.437, 0.500, 0.839)
Tl (0.104, 0.500, 0.160)
Tl (0.104, 0.000, 0.660)
Tl (0.896, 0.000, 0.340)
Tl (0.896, 0.500, 0.840)

Calculated values
DFT formation energy, eV/atom: 0.1566
SG: C2/m
Energy relative to the lowest polymorph listed for this composition, meV/atom: 111
D(E_F), states/eV per cell: 9.5

=====

(2)
The following is a GGA-PBE calculation of NaMnAs2 after structural relaxation, from Alexandria via LeMat-Bulk.

abc: 3.674 3.674 6.994
angles: 90.00 90.00 60.00
Fractional coordinates of all 4 atoms:
Na (0.000, 0.000, 0.500)
As (0.667, 0.667, 0.186)
As (0.333, 0.333, 0.814)
Mn (0.000, 0.000, 0.000)

Calculated values
DFT formation energy, eV/atom: -0.2531
SG: P-3m1
Energy relative to the lowest polymorph listed for this composition, meV/atom: 0
D(E_F), states/eV per cell: 1.4

=====

(3)
The following is a GGA-PBE calculation of YbTl after structural relaxation, from Alexandria via LeMat-Bulk.

abc: 3.850 3.850 3.857
angles: 90.00 90.00 90.00
Fractional coordinates of all 2 atoms:
Tl (0.000, 0.000, 0.000)
Yb (0.500, 0.500, 0.500)

Calculated values
DFT formation energy, eV/atom: -0.4835
SG: Pm-3m
D(E_F), states/eV per cell: 1.9

=====

(4)
The following is a GGA-PBE calculation of Ba2Ga2Bi3 after structural relaxation, from Alexandria via LeMat-Bulk.

abc: 5.089 5.116 9.763
angles: 96.85 105.11 90.00
Fractional coordinates of all 7 atoms:
Ga (0.158, 0.213, 0.317)
Ga (0.842, 0.787, 0.683)
Bi (0.000, 0.000, 0.000)
Bi (0.750, 0.241, 0.500)
Bi (0.250, 0.759, 0.500)
Ba (0.603, 0.667, 0.207)
Ba (0.397, 0.333, 0.793)

Calculated values
DFT formation energy, eV/atom: -0.4510
SG: C2/m
D(E_F), states/eV per cell: 3.2

=====

Q: What is the formula in the third record?
A: YbTl